one | VASP calculation (PBE) on LaTbPr after structural relaxation.

Structure (extended XYZ):
```
3
Lattice="5.789 -2.601 0.000 5.789 2.601 0.000 -1.167 0.000 3.494" Properties=species:S:1:pos:R:3 pbc="T T T"
La 0.000 0.000 0.000
Tb 6.948 0.000 2.332
Pr 3.464 0.000 1.162
```

- Total magnetization: 0.0000 μB/atom

=====

two | VASP calculation (PBE) on LaTbPr after structural relaxation.

Structure (extended XYZ):
```
6
Lattice="6.632 0.000 0.000 0.000 3.511 0.000 0.000 0.000 9.089" Properties=species:S:1:pos:R:3 pbc="T T T"
La 1.658 0.000 1.394
La 4.974 0.000 7.695
Tb 0.000 0.000 4.545
Tb 3.316 0.000 4.545
Pr 1.658 1.755 7.278
Pr 4.974 1.755 1.811
```

- Total magnetization: 0.0000 μB/atom

=====

Which of them is the most stable? Correct choice: one.

=====

one | VASP calculation (PBE) on La7Tb2Pr after structural relaxation.

Structure (extended XYZ):
```
10
Lattice="4.545 -8.097 0.000 4.545 8.097 0.000 0.000 0.000 5.809" Properties=species:S:1:pos:R:3 pbc="T T T"
La 0.000 0.000 0.000
La 2.880 1.881 0.000
La 4.545 3.886 2.904
La 2.880 -1.881 0.000
La 6.210 1.881 0.000
La 4.545 -3.886 2.904
La 6.210 -1.881 0.000
Tb 4.545 4.815 0.000
Tb 4.545 -4.815 0.000
Pr 4.545 0.000 2.904
```

- Total magnetization: 0.0066 μB/atom

=====

two | VASP calculation (PBE) on La7Tb2Pr after structural relaxation.

Structure (extended XYZ):
```
10
Lattice="6.121 -8.657 0.000 6.121 8.657 0.000 0.000 0.000 3.552" Properties=species:S:1:pos:R:3 pbc="T T T"
La 0.000 0.000 0.000
La 2.975 2.282 0.000
La 6.121 5.553 1.776
La 2.975 -2.282 0.000
La 9.267 2.282 0.000
La 6.121 -5.553 1.776
La 9.267 -2.282 0.000
Tb 6.121 2.901 0.000
Tb 6.121 -2.901 0.000
Pr 6.121 0.000 1.776
```

- Total magnetization: 0.0000 μB/atom

=====

Which of them is the most stable? Correct choice: two.

=====

one | VASP calculation (PBE) on LaTbPr4 after structural relaxation.

Structure (extended XYZ):
```
6
Lattice="0.000 4.788 4.788 4.788 0.000 4.788 4.788 4.788 0.000" Properties=species:S:1:pos:R:3 pbc="T T T"
La 0.000 0.000 0.000
Tb 2.394 2.394 2.394
Pr 5.977 3.600 3.600
Pr 3.600 5.977 3.600
Pr 3.600 3.600 5.977
Pr 5.977 5.977 5.977
```

- Total magnetization: 0.0001 μB/atom

=====

two | VASP calculation (PBE) on LaTbPr4 after structural relaxation.

Structure (extended XYZ):
```
12
Lattice="7.883 -3.508 0.000 7.883 3.508 0.000 -3.725 0.000 8.101" Properties=species:S:1:pos:R:3 pbc="T T T"
La 2.309 0.000 2.490
La 9.731 0.000 5.611
Tb 3.653 0.000 5.807
Tb 8.387 0.000 2.295
Pr 5.919 1.708 0.522
Pr 0.577 0.000 5.692
Pr 6.020 1.703 4.051
Pr 6.121 1.708 7.580
Pr 5.919 -1.708 0.522
Pr 6.020 -1.703 4.051
Pr 11.464 0.000 2.410
Pr 6.121 -1.708 7.580
```

- Total magnetization: 0.0000 μB/atom

=====

Which of them is the most stable? Correct choice: one.

=====

one | VASP calculation (PBE) on La6Tb2Pr after structural relaxation.

Structure (extended XYZ):
```
9
Lattice="4.751 -9.138 0.000 4.751 9.138 0.000 -0.592 0.000 3.676" Properties=species:S:1:pos:R:3 pbc="T T T"
La 3.030 6.004 0.648
La 1.389 0.000 1.159
La 5.878 6.004 3.027
La 3.030 -6.004 0.648
La 7.520 0.000 2.516
La 5.878 -6.004 3.027
Tb 4.454 3.004 1.838
Tb 4.454 -3.004 1.838
Pr 4.751 0.000 0.000
```

- Total magnetization: 0.0000 μB/atom

=====

two | VASP calculation (PBE) on La6Tb2Pr after structural relaxation.

Structure (extended XYZ):
```
9
Lattice="10.121 0.000 0.000 -5.061 8.765 0.000 0.000 0.000 3.644" Properties=species:S:1:pos:R:3 pbc="T T T"
La -1.574 2.726 0.000
La -3.247 5.623 1.822
La 3.147 0.000 0.000
La 1.814 3.142 1.822
La 6.493 0.000 1.822
La 3.487 6.040 0.000
Tb 0.000 5.843 0.000
Tb 5.061 2.922 0.000
Pr 0.000 0.000 1.822
```

- Total magnetization: 0.0000 μB/atom

=====

Which of them is the most stable? Correct choice: two.